# 1
Here is an optimized crystal structure of BaCaTc from the Alexandria database. Energies are from PBEsol.

DFT formation energy = 0.8947 eV per atom
Excess energy over the best structure of this formula in the dataset = 0 meV/atom
Volume = 74.0 Å³ per cell
Space-group type = P-6m2, No. 187
Spin magnetization = 0.0 μB per cell

Cell: 5.1847 5.1847 3.1807 Å, 90.00 90.00 120.00°
Fractional positions:
Ba1 0.0000 0.0000 0.0000
Ca1 0.6667 0.3333 0.5000
Tc1 0.3333 0.6667 0.0000

# 2
Here is an optimized crystal structure of RbLiS3 from the Alexandria database. Energies are from PBEsol.

Excess energy over the best structure of this formula in the dataset = 0 meV/atom
Volume = 101.6 Å³ per cell
Space-group type = Pm-3m, No. 221
Spin magnetization = 0.0 μB per cell
Formation energy without anion corrections = -0.10 eV/atom

Cell: 4.6657 4.6657 4.6657 Å, 90.00 90.00 90.00°
Fractional positions:
Rb1 0.0000 0.0000 0.0000
Li1 0.5000 0.5000 0.5000
S1 0.0000 0.5000 0.5000
S2 0.5000 0.0000 0.5000
S3 0.5000 0.5000 0.0000

# 3
Here is an optimized crystal structure of LiMn5O7F from the Alexandria database. Energies are from PBEsol.

Volume = 150.2 Å³ per cell
Space-group type = R3m, No. 160
Spin magnetization = 20.8 μB per cell
Formation energy without anion corrections = -1.67 eV/atom

Cell: 5.9042 5.9042 5.9042 Å, 61.41 61.41 61.41°
Fractional positions:
Li1 0.0000 0.0000 0.0000
Mn1 0.3860 0.3860 0.3860
Mn2 0.3963 0.3963 0.8871
Mn3 0.3963 0.8871 0.3963
Mn4 0.7779 0.7779 0.7779
Mn5 0.8871 0.3963 0.3963
O1 0.1466 0.1466 0.5872
O2 0.1466 0.5872 0.1466
O3 0.1875 0.6287 0.6287
O4 0.5872 0.1466 0.1466
O5 0.6287 0.1875 0.6287
O6 0.6287 0.6287 0.1875
O7 0.6428 0.6428 0.6428
F1 0.1283 0.1283 0.1283

# 4
Here is an optimized crystal structure of NaSnSb from the Alexandria database. Energies are from PBEsol.

Volume = 185.8 Å³ per cell
Space-group type = P6_3mc, No. 186
Spin magnetization = 0.0 μB per cell
Formation energy without anion corrections = -0.22 eV/atom

Cell: 4.2811 4.2811 11.7069 Å, 90.00 90.00 120.00°
Fractional positions:
Na1 0.3333 0.6667 0.0000
Na2 0.6667 0.3333 0.5000
Sn1 0.0000 0.0000 0.1915
Sn2 0.0000 0.0000 0.6915
Sb1 0.3333 0.6667 0.3180
Sb2 0.6667 0.3333 0.8180

# 5
Here is an optimized crystal structure of Zr3Tl5 from the Alexandria database. Energies are from PBEsol.

DFT formation energy = -0.0729 eV per atom
Volume = 179.5 Å³ per cell
Space-group type = Cmmm, No. 65
Spin magnetization = 0.0 μB per cell

Cell: 6.4171 6.4171 4.3599 Å, 90.00 90.00 90.29°
Fractional positions:
Zr1 0.0000 0.0000 0.0000
Zr2 0.2627 0.2627 0.5000
Zr3 0.7373 0.7373 0.5000
Tl1 0.0000 0.5000 0.0000
Tl2 0.2321 0.7679 0.5000
Tl3 0.5000 0.0000 0.0000
Tl4 0.5000 0.5000 0.0000
Tl5 0.7679 0.2321 0.5000

# 6
Here is an optimized crystal structure of Y2IrI from the Alexandria database. Energies are from PBEsol.

Volume = 92.3 Å³ per cell
Space-group type = Fm-3m, No. 225
Spin magnetization = 0.0 μB per cell
Formation energy without anion corrections = -0.42 eV/atom

Cell: 5.0736 5.0736 5.0736 Å, 60.00 60.00 60.00°
Fractional positions:
Y1 0.2500 0.2500 0.2500
Y2 0.7500 0.7500 0.7500
Ir1 0.0000 0.0000 0.0000
I1 0.5000 0.5000 0.5000